{
  "formula": "KZn2GeAu",
  "functional": "meta-GGA SCAN",
  "state": "single point on PBEsol structure",
  "lattice": [[4.923, 0.000, 0.000], [0.000, 4.923, 0.000], [0.000, 0.000, 5.063]],
  "species": ["Au", "Zn", "Zn", "Ge", "K"],
  "fractional_positions": [[0.000, 0.000, 0.000], [0.000, 0.500, 0.000], [0.500, 0.000, 0.000], [0.000, 0.000, 0.500], [0.500, 0.500, 0.500]],
  "total_magnetization_mub_per_cell": 0.000,
  "density_g_cm3": 5.95,
  "space_group": "P4/mmm",
  "formation_energy_ev_per_atom": 0.0506,
  "n_ef_per_ev_atom": 0.429
}

{
  "formula": "La2Ge2Au",
  "functional": "meta-GGA SCAN",
  "state": "single point on PBEsol structure",
  "lattice": [[4.521, 0.000, 0.000], [0.000, 7.228, 0.000], [0.000, 0.000, 7.228]],
  "species": ["La", "La", "La", "La", "Ge", "Ge", "Ge", "Ge", "Au", "Au"],
  "fractional_positions": [[0.500, 0.325, 0.175], [0.500, 0.175, 0.675], [0.500, 0.825, 0.325], [0.500, 0.675, 0.825], [0.000, 0.873, 0.627], [0.000, 0.127, 0.373], [0.000, 0.627, 0.127], [0.000, 0.373, 0.873], [0.000, 0.500, 0.500], [0.000, 0.000, 0.000]],
  "total_magnetization_mub_per_cell": 0.000,
  "density_g_cm3": 8.72,
  "space_group": "P4/mbm",
  "formation_energy_ev_per_atom": -0.9017,
  "n_ef_per_ev_atom": 0.596
}

{
  "formula": "LaGeMoAu2",
  "functional": "meta-GGA SCAN",
  "state": "single point on PBEsol structure",
  "lattice": [[5.345, 0.000, 0.000], [0.000, 5.345, 0.000], [0.000, 0.000, 5.475]],
  "species": ["Mo", "La", "Au", "Au", "Ge"],
  "fractional_positions": [[0.500, 0.500, 0.500], [0.000, 0.000, 0.000], [0.000, 0.500, 0.000], [0.500, 0.000, 0.000], [0.000, 0.000, 0.500]],
  "total_magnetization_mub_per_cell": 3.762,
  "density_g_cm3": 7.45,
  "space_group": "P4/mmm",
  "formation_energy_ev_per_atom": 1.2566,
  "n_ef_per_ev_atom": 0.495
}

{
  "formula": "LaZnGeAu2",
  "functional": "meta-GGA SCAN",
  "state": "single point on PBEsol structure",
  "lattice": [[-4.403, 0.484, 3.046], [-2.611, -3.412, -3.231], [1.684, -4.230, 3.106]],
  "species": ["La", "Au", "Au", "Zn", "Ge"],
  "fractional_positions": [[0.000, 0.000, 0.000], [0.500, 0.000, 0.000], [0.000, 0.500, 0.000], [0.000, 0.000, 0.500], [0.500, 0.500, 0.500]],
  "total_magnetization_mub_per_cell": 0.000,
  "density_g_cm3": 6.99,
  "space_group": "P4/mmm",
  "formation_energy_ev_per_atom": 0.8509,
  "n_ef_per_ev_atom": 1.011
}

{
  "formula": "LaZr2GeAu",
  "functional": "meta-GGA SCAN",
  "state": "single point on PBEsol structure",
  "lattice": [[5.114, 0.000, 0.000], [0.000, 5.114, 0.000], [0.000, 0.000, 5.594]],
  "species": ["Zr", "Zr", "Au", "Ge", "La"],
  "fractional_positions": [[0.500, 0.000, 0.000], [0.000, 0.500, 0.000], [0.000, 0.000, 0.000], [0.500, 0.500, 0.500], [0.000, 0.000, 0.500]],
  "total_magnetization_mub_per_cell": 0.001,
  "density_g_cm3": 6.71,
  "space_group": "P4/mmm",
  "formation_energy_ev_per_atom": 0.2036,
  "n_ef_per_ev_atom": 0.727
}

{
  "formula": "Li2GeAu2",
  "functional": "meta-GGA SCAN",
  "state": "single point on PBEsol structure",
  "lattice": [[-2.362, 0.494, -1.838], [3.827, -2.361, -5.552], [-2.335, -6.642, 1.216]],
  "species": ["Li", "Li", "Li", "Li", "Au", "Au", "Au", "Au", "Ge", "Ge"],
  "fractional_positions": [[0.500, 0.345, 0.155], [0.500, 0.155, 0.655], [0.500, 0.655, 0.845], [0.500, 0.845, 0.345], [0.000, 0.643, 0.143], [0.000, 0.357, 0.857], [0.000, 0.857, 0.643], [0.000, 0.143, 0.357], [0.000, 0.000, 0.000], [0.000, 0.500, 0.500]],
  "total_magnetization_mub_per_cell": 0.000,
  "density_g_cm3": 10.31,
  "space_group": "P4/mbm",
  "formation_energy_ev_per_atom": -0.4486,
  "n_ef_per_ev_atom": 0.244
}

{
  "formula": "LuGeAu",
  "functional": "meta-GGA SCAN",
  "state": "single point on PBEsol structure",
  "lattice": [[4.372, 0.000, 0.000], [-2.186, 3.787, 0.000], [0.000, 0.000, 7.008]],
  "species": ["Ge", "Ge", "Lu", "Lu", "Au", "Au"],
  "fractional_positions": [[0.333, 0.667, 0.211], [0.667, 0.333, 0.711], [0.000, 0.000, 0.503], [0.000, 0.000, 0.003], [0.333, 0.667, 0.803], [0.667, 0.333, 0.303]],
  "total_magnetization_mub_per_cell": 0.000,
  "density_g_cm3": 12.73,
  "space_group": "P6_3mc",
  "formation_energy_ev_per_atom": -1.0170,
  "n_ef_per_ev_atom": 0.084
}

{
  "formula": "MgGeAu3",
  "functional": "meta-GGA SCAN",
  "state": "single point on PBEsol structure",
  "lattice": [[4.799, 0.000, 0.000], [0.000, 4.799, 0.000], [0.000, 0.000, 4.799]],
  "species": ["Au", "Au", "Au", "Mg", "Ge"],
  "fractional_positions": [[0.500, 0.000, 0.000], [0.000, 0.500, 0.000], [0.000, 0.000, 0.500], [0.500, 0.500, 0.500], [0.000, 0.000, 0.000]],
  "total_magnetization_mub_per_cell": 0.000,
  "density_g_cm3": 10.33,
  "space_group": "Pm-3m",
  "formation_energy_ev_per_atom": 0.0992,
  "n_ef_per_ev_atom": 0.333
}

{
  "formula": "MnGeAu3",
  "functional": "meta-GGA SCAN",
  "state": "single point on PBEsol structure",
  "lattice": [[4.792, 0.000, 0.000], [0.000, 4.792, 0.000], [0.000, 0.000, 4.792]],
  "species": ["Ge", "Au", "Au", "Au", "Mn"],
  "fractional_positions": [[0.500, 0.500, 0.500], [0.500, 0.000, 0.000], [0.000, 0.500, 0.000], [0.000, 0.000, 0.500], [0.000, 0.000, 0.000]],
  "total_magnetization_mub_per_cell": 4.569,
  "density_g_cm3": 10.84,
  "space_group": "Pm-3m",
  "formation_energy_ev_per_atom": 0.6347,
  "n_ef_per_ev_atom": 0.406
}

{
  "formula": "MnGePt2Au",
  "functional": "meta-GGA SCAN",
  "state": "single point on PBEsol structure",
  "lattice": [[-3.929, 1.711, -1.047], [-1.212, -0.122, 4.349], [1.657, 4.161, 0.578]],
  "species": ["Au", "Mn", "Pt", "Pt", "Ge"],
  "fractional_positions": [[0.500, 0.500, 0.500], [0.000, 0.000, 0.000], [0.000, 0.500, 0.000], [0.000, 0.000, 0.500], [0.500, 0.000, 0.000]],
  "total_magnetization_mub_per_cell": 0.015,
  "density_g_cm3": 13.19,
  "space_group": "P4/mmm",
  "formation_energy_ev_per_atom": 0.8796,
  "n_ef_per_ev_atom": 0.914
}

{
  "formula": "MnGeRu2Au",
  "functional": "meta-GGA SCAN",
  "state": "single point on PBEsol structure",
  "lattice": [[4.336, 0.000, 0.000], [0.000, 4.336, 0.000], [0.000, 0.000, 4.387]],
  "species": ["Mn", "Ge", "Ru", "Ru", "Au"],
  "fractional_positions": [[0.000, 0.000, 0.000], [0.000, 0.000, 0.500], [0.000, 0.500, 0.000], [0.500, 0.000, 0.000], [0.500, 0.500, 0.500]],
  "total_magnetization_mub_per_cell": 0.923,
  "density_g_cm3": 10.60,
  "space_group": "P4/mmm",
  "formation_energy_ev_per_atom": 1.0234,
  "n_ef_per_ev_atom": 0.615
}

{
  "formula": "GeAuN2",
  "functional": "meta-GGA SCAN",
  "state": "single point on PBEsol structure",
  "lattice": [[-3.049, -3.625, 1.175], [1.459, 0.348, -5.277], [3.275, -3.262, -1.566]],
  "species": ["Au", "Au", "N", "N", "N", "N", "Ge", "Ge"],
  "fractional_positions": [[0.750, 0.500, 0.750], [0.000, 0.000, 0.000], [0.187, 0.750, 0.875], [0.563, 0.750, 0.375], [0.375, 0.250, 0.187], [0.875, 0.250, 0.563], [0.250, 0.500, 0.250], [0.500, 0.000, 0.500]],
  "total_magnetization_mub_per_cell": 1.708,
  "density_g_cm3": 9.73,
  "space_group": "I-42d",
  "e_form_raw_mev_per_atom": 574,
  "n_ef_per_ev_atom": 0.348
}

{
  "formula": "GeP2AuN",
  "functional": "meta-GGA SCAN",
  "state": "single point on PBEsol structure",
  "lattice": [[-1.142, -1.382, -2.990], [0.776, -4.432, 1.752], [-4.495, -0.092, 1.760]],
  "species": ["N", "P", "P", "Ge", "Au"],
  "fractional_positions": [[0.500, 0.000, 0.000], [0.000, 0.000, 0.500], [0.000, 0.500, 0.000], [0.000, 0.000, 0.000], [0.500, 0.500, 0.500]],
  "total_magnetization_mub_per_cell": 0.000,
  "density_g_cm3": 7.06,
  "space_group": "P4/mmm",
  "e_form_raw_mev_per_atom": 1216,
  "n_ef_per_ev_atom": 0.700
}

{
  "formula": "GePbAu2N",
  "functional": "meta-GGA SCAN",
  "state": "single point on PBEsol structure",
  "lattice": [[-0.582, 0.305, 5.183], [4.808, -1.938, 0.654], [2.064, 5.098, -0.068]],
  "species": ["Pb", "N", "Ge", "Au", "Au"],
  "fractional_positions": [[0.000, 0.000, 0.000], [0.500, 0.500, 0.500], [0.000, 0.000, 0.500], [0.000, 0.500, 0.000], [0.500, 0.000, 0.000]],
  "total_magnetization_mub_per_cell": 2.516,
  "density_g_cm3": 7.61,
  "space_group": "P4/mmm",
  "e_form_raw_mev_per_atom": 1677,
  "n_ef_per_ev_atom": 0.369
}

{
  "formula": "NaGe2Au2",
  "functional": "meta-GGA SCAN",
  "state": "single point on PBEsol structure",
  "lattice": [[4.499, 0.000, 0.000], [0.000, 4.499, 0.000], [-2.249, -2.249, 5.009]],
  "species": ["Au", "Au", "Na", "Ge", "Ge"],
  "fractional_positions": [[0.750, 0.250, 0.500], [0.250, 0.750, 0.500], [0.000, 0.000, 0.000], [0.376, 0.376, 0.753], [0.624, 0.624, 0.247]],
  "total_magnetization_mub_per_cell": 0.000,
  "density_g_cm3": 9.21,
  "space_group": "I4/mmm",
  "formation_energy_ev_per_atom": -0.2628,
  "n_ef_per_ev_atom": 0.374
}

{
  "formula": "Na2GeAu2",
  "functional": "meta-GGA SCAN",
  "state": "single point on PBEsol structure",
  "lattice": [[3.802, 0.000, 0.000], [0.000, 3.802, 0.000], [-1.901, -1.901, 7.090]],
  "species": ["Au", "Au", "Ge", "Na", "Na"],
  "fractional_positions": [[0.406, 0.406, 0.812], [0.594, 0.594, 0.188], [0.000, 0.000, 0.000], [0.750, 0.250, 0.500], [0.250, 0.750, 0.500]],
  "total_magnetization_mub_per_cell": 0.000,
  "density_g_cm3": 8.30,
  "space_group": "I4/mmm",
  "formation_energy_ev_per_atom": 0.0938,
  "n_ef_per_ev_atom": 0.297
}

{
  "formula": "NaGeAu3",
  "functional": "meta-GGA SCAN",
  "state": "single point on PBEsol structure",
  "lattice": [[8.983, 0.000, 0.000], [0.000, 8.983, 0.000], [0.000, 0.000, 8.983]],
  "species": ["Na", "Na", "Na", "Na", "Na", "Na", "Na", "Na", "Au", "Au", "Au", "Au", "Au", "Au", "Au", "Au", "Au", "Au", "Au", "Au", "Au", "Au", "Au", "Au", "Au", "Au", "Au", "Au", "Au", "Au", "Au", "Au", "Ge", "Ge", "Ge", "Ge", "Ge", "Ge", "Ge", "Ge"],
  "fractional_positions": [[0.903, 0.597, 0.403], [0.903, 0.903, 0.903], [0.403, 0.597, 0.097], [0.597, 0.097, 0.403], [0.597, 0.403, 0.903], [0.403, 0.903, 0.597], [0.097, 0.097, 0.097], [0.097, 0.403, 0.597], [0.912, 0.230, 0.358], [0.642, 0.412, 0.270], [0.730, 0.358, 0.588], [0.858, 0.912, 0.270], [0.358, 0.912, 0.230], [0.270, 0.858, 0.912], [0.358, 0.588, 0.730], [0.412, 0.270, 0.642], [0.270, 0.642, 0.412], [0.230, 0.142, 0.412], [0.770, 0.858, 0.588], [0.730, 0.142, 0.088], [0.088, 0.730, 0.142], [0.142, 0.088, 0.730], [0.088, 0.770, 0.642], [0.642, 0.088, 0.770], [0.770, 0.642, 0.088], [0.142, 0.412, 0.230], [0.588, 0.730, 0.358], [0.412, 0.230, 0.142], [0.588, 0.770, 0.858], [0.912, 0.270, 0.858], [0.230, 0.358, 0.912], [0.858, 0.588, 0.770], [0.110, 0.890, 0.390], [0.390, 0.390, 0.390], [0.610, 0.610, 0.610], [0.610, 0.890, 0.110], [0.390, 0.110, 0.890], [0.890, 0.390, 0.110], [0.110, 0.610, 0.890], [0.890, 0.110, 0.610]],
  "total_magnetization_mub_per_cell": 0.000,
  "density_g_cm3": 12.58,
  "space_group": "Pa-3",
  "formation_energy_ev_per_atom": -0.3391,
  "n_ef_per_ev_atom": 0.177
}

{
  "formula": "Na2Ge2Au",
  "functional": "meta-GGA SCAN",
  "state": "single point on PBEsol structure",
  "lattice": [[-3.536, 3.259, -0.766], [-0.750, -2.238, -6.064], [-4.410, -4.286, 2.127]],
  "species": ["Na", "Na", "Na", "Na", "Au", "Au", "Ge", "Ge", "Ge", "Ge"],
  "fractional_positions": [[0.500, 0.676, 0.824], [0.500, 0.176, 0.676], [0.500, 0.824, 0.324], [0.500, 0.324, 0.176], [0.000, 0.500, 0.500], [0.000, 0.000, 0.000], [0.000, 0.868, 0.632], [0.000, 0.368, 0.868], [0.000, 0.632, 0.132], [0.000, 0.132, 0.368]],
  "total_magnetization_mub_per_cell": 0.000,
  "density_g_cm3": 6.25,
  "space_group": "P4/mbm",
  "formation_energy_ev_per_atom": -0.3221,
  "n_ef_per_ev_atom": 0.206
}

{
  "formula": "SrNbGe2Au",
  "functional": "meta-GGA SCAN",
  "state": "single point on PBEsol structure",
  "lattice": [[5.209, 0.000, 0.000], [0.000, 5.230, 0.000], [0.000, 0.000, 5.230]],
  "species": ["Ge", "Ge", "Nb", "Au", "Sr"],
  "fractional_positions": [[0.000, 0.500, 0.000], [0.000, 0.000, 0.500], [0.500, 0.500, 0.500], [0.500, 0.000, 0.000], [0.000, 0.000, 0.000]],
  "total_magnetization_mub_per_cell": 2.717,
  "density_g_cm3": 6.09,
  "space_group": "P4/mmm",
  "formation_energy_ev_per_atom": 1.6570,
  "n_ef_per_ev_atom": 1.054
}

{
  "formula": "GeAuO3",
  "functional": "meta-GGA SCAN",
  "state": "single point on PBEsol structure",
  "lattice": [[3.988, 0.000, 0.000], [0.000, 3.988, 0.000], [0.000, 0.000, 3.988]],
  "species": ["O", "O", "O", "Ge", "Au"],
  "fractional_positions": [[0.500, 0.000, 0.000], [0.000, 0.000, 0.500], [0.000, 0.500, 0.000], [0.500, 0.500, 0.500], [0.000, 0.000, 0.000]],
  "total_magnetization_mub_per_cell": 0.000,
  "density_g_cm3": 8.31,
  "space_group": "Pm-3m",
  "e_form_raw_mev_per_atom": 119,
  "n_ef_per_ev_atom": 0.330
}